# 1
Below is crystalline SrCa2TaGa at its relaxed geometry, with properties calculated at the PBE-GGA level.

Values from the calculation:
M_tot ... 0.000 μB per formula unit
Calculated volume ... 187 Å³/cell
DFT formation energy ... 5.20 eV/f.u.

The structure in extended XYZ format:
```
5
Lattice="5.649 0.000 0.000 0.000 5.851 0.000 0.000 0.000 5.649" Properties=species:S:1:pos:R:3 pbc="T T T"
Sr 0.000 2.926 0.000
Ca 0.000 0.000 2.825
Ca 2.825 0.000 0.000
Ga 2.825 2.926 2.825
Ta 0.000 0.000 0.000
```

***

# 2
Below is crystalline Pu3Tl3PtSe8 at its relaxed geometry, with properties calculated at the PBE-GGA level.

Values from the calculation:
M_tot ... 14.816 μB per formula unit
Final energy ... -97.5 eV/cell
Calculated volume ... 459 Å³/cell

The structure in extended XYZ format:
```
15
Lattice="8.193 0.000 0.000 -4.097 7.095 -0.029 0.000 -4.697 7.918" Properties=species:S:1:pos:R:3 pbc="T T T"
Pu 4.097 -2.348 3.959
Pu 2.048 1.199 3.944
Pu -2.048 1.199 3.944
Tl 0.000 0.000 0.000
Tl -2.048 3.547 -0.015
Tl 2.048 3.547 -0.015
Pt 0.000 -2.348 3.959
Se 0.000 2.370 2.313
Se 4.097 0.028 5.576
Se 4.097 2.585 2.443
Se 0.000 -0.187 5.446
Se 6.330 -1.276 2.458
Se -2.234 3.674 5.430
Se 1.863 -1.276 2.458
Se 2.234 3.674 5.430
```

***

# 3
Below is crystalline Pm2Pr3Tm4 at its relaxed geometry, with properties calculated at the PBE-GGA level.

Values from the calculation:
M_tot ... 0.000 μB per formula unit
Calculated volume ... 297 Å³/cell
DFT formation energy ... 0.21 eV/f.u.

The structure in extended XYZ format:
```
9
Lattice="5.084 -0.007 -0.016 -2.546 7.928 -4.649 0.029 -1.036 7.976" Properties=species:S:1:pos:R:3 pbc="T T T"
Pm 2.552 2.294 1.089
Pm 0.015 4.592 2.222
Pr 2.552 5.692 -0.115
Pr 0.015 1.194 3.426
Pr 0.000 0.000 0.000
Tm 2.567 3.481 4.518
Tm 0.000 3.404 -1.208
Tm 0.003 6.782 -2.362
Tm 2.563 0.104 5.672
```

***

# 4
Below is crystalline K2CaAcO4 at its relaxed geometry, with properties calculated at the PBE-GGA level.

Values from the calculation:
M_tot ... 1.034 μB per formula unit
Final energy ... -45.8 eV/cell
Calculated volume ... 149 Å³/cell

The structure in extended XYZ format:
```
8
Lattice="3.757 0.000 0.000 0.000 6.273 0.156 0.000 -2.150 6.264" Properties=species:S:1:pos:R:3 pbc="T T T"
K 1.879 -1.075 3.132
K 0.000 2.061 3.210
Ca 0.000 0.000 0.000
Ac 1.879 3.136 0.078
O 1.879 1.048 1.265
O 1.879 3.074 5.154
O 0.000 -0.082 5.054
O 0.000 4.204 1.365
```

***

# 5
Below is crystalline CuTeBr at its relaxed geometry, with properties calculated at the PBE-GGA level.

Values from the calculation:
M_tot ... 0.000 μB per formula unit
Final energy ... -8.3 eV/cell
Calculated volume ... 79 Å³/cell

The structure in extended XYZ format:
```
3
Lattice="-4.271 6.165 2.263 -7.204 2.739 1.399 5.900 -5.141 0.353" Properties=species:S:1:pos:R:3 pbc="T T T"
Br -10.839 8.409 3.459
Cu -3.958 3.071 1.263
Te -8.154 6.326 2.602
```

***

# 6
Below is crystalline Sm3Pu3TaN8 at its relaxed geometry, with properties calculated at the PBE-GGA level.

Values from the calculation:
M_tot ... 13.761 μB per formula unit
Final energy ... -154.7 eV/cell
Calculated volume ... 233 Å³/cell

The structure in extended XYZ format:
```
15
Lattice="-5.611 1.891 -3.484 3.479 -5.620 -1.878 -3.672 -0.042 5.890" Properties=species:S:1:pos:R:3 pbc="T T T"
Sm 0.000 0.000 0.000
Sm 1.739 -2.810 -0.939
Sm -1.066 -1.864 -2.681
Pu -4.642 0.925 1.203
Pu -2.902 -1.885 0.264
Pu -0.097 -2.831 2.006
Ta -1.836 -0.021 2.945
N -0.628 -2.393 -0.288
N -5.177 -1.378 0.815
N -3.508 -1.679 -2.035
N -2.297 -2.092 2.563
N -5.402 1.382 -1.013
N -0.403 -5.152 1.540
N -2.347 0.352 0.884
N -3.458 -4.122 -0.357
```

***

# 7
Below is crystalline Dy12Zn6In at its relaxed geometry, with properties calculated at the PBE-GGA level.

Values from the calculation:
M_tot ... 0.000 μB per formula unit
Calculated volume ... 502 Å³/cell
DFT formation energy ... -3.98 eV/f.u.

The structure in extended XYZ format:
```
19
Lattice="-4.187 -2.879 -7.026 -3.784 -3.179 7.124 -0.295 8.663 0.192" Properties=species:S:1:pos:R:3 pbc="T T T"
Dy -1.813 5.858 -1.187
Dy -3.087 -0.696 1.436
Dy -5.178 3.301 -1.145
Dy -6.452 -3.253 1.477
Dy -3.545 -0.343 5.131
Dy -2.828 0.506 -1.956
Dy -5.437 2.099 2.246
Dy -4.719 2.948 -4.840
Dy -4.503 -2.407 -3.597
Dy -2.040 2.697 0.800
Dy -6.225 -0.092 -0.509
Dy -3.762 5.012 3.888
Zn -3.726 4.919 1.086
Zn -4.539 -2.314 -0.795
Zn -5.520 -0.965 2.803
Zn -2.745 3.570 -2.513
Zn -5.241 0.612 -3.380
Zn -3.024 1.993 3.670
In 0.000 0.000 0.000
```

***

# 8
Below is crystalline HgGeBi at its relaxed geometry, with properties calculated at the PBE-GGA level.

Values from the calculation:
M_tot ... 0.000 μB per formula unit
Calculated volume ... 169 Å³/cell
DFT formation energy ... 0.37 eV/f.u.

The structure in extended XYZ format:
```
6
Lattice="-3.057 1.410 -1.920 1.159 -2.642 -3.841 -3.663 -7.005 5.085" Properties=species:S:1:pos:R:3 pbc="T T T"
Hg -4.230 -1.879 -0.654
Hg -1.331 -6.359 -0.023
Ge -4.119 -6.985 3.876
Ge -1.441 -1.254 -4.552
Bi -4.276 -5.626 1.168
Bi -1.285 -2.613 -1.845
```

***

# 9
Below is crystalline YTaBr2 at its relaxed geometry, with properties calculated at the PBE-GGA level.

Values from the calculation:
M_tot ... 0.000 μB per formula unit
Final energy ... -21.8 eV/cell
Calculated volume ... 94 Å³/cell

The structure in extended XYZ format:
```
4
Lattice="-1.271 2.903 0.508 -4.197 -1.066 -4.418 -2.939 -1.854 3.240" Properties=species:S:1:pos:R:3 pbc="T T T"
Y -3.568 -1.460 -0.589
Br 0.000 0.000 0.000
Br -2.734 0.919 -1.955
Ta -2.105 0.524 1.874
```

***

# 10
Below is crystalline DyU2Te6 at its relaxed geometry, with properties calculated at the PBE-GGA level.

Values from the calculation:
M_tot ... 3.074 μB per formula unit
Final energy ... -50.1 eV/cell
Calculated volume ... 357 Å³/cell

The structure in extended XYZ format:
```
9
Lattice="-5.143 2.527 0.025 -0.992 -2.070 5.251 7.474 8.696 1.713" Properties=species:S:1:pos:R:3 pbc="T T T"
Dy -3.067 0.229 2.638
U 1.671 3.385 1.650
U -0.332 5.769 5.338
Te -3.371 3.061 2.039
Te 1.984 7.433 4.963
Te -1.170 0.624 4.810
Te 5.237 7.190 2.166
Te -0.368 5.726 2.188
Te 1.707 3.428 4.801
```

***

# 11
Below is crystalline Na3Bi2Pb6 at its relaxed geometry, with properties calculated at the PBE-GGA level.

Values from the calculation:
M_tot ... 0.000 μB per formula unit
Calculated volume ... 349 Å³/cell
DFT formation energy ... -0.93 eV/f.u.

The structure in extended XYZ format:
```
11
Lattice="0.338 -3.468 5.033 -4.108 -2.106 -4.020 9.364 -6.292 0.124" Properties=species:S:1:pos:R:3 pbc="T T T"
Na 0.000 0.000 0.000
Na 2.793 -6.489 -2.377
Na 2.800 -5.377 3.513
Bi 5.275 -7.372 1.998
Bi 0.319 -4.495 -0.862
Pb -0.529 -5.430 2.276
Pb 1.354 -2.650 1.773
Pb 6.123 -6.436 -1.140
Pb 4.239 -9.217 -0.637
Pb 3.735 -4.540 0.307
Pb 1.858 -7.326 0.830
```

***

# 12
Below is crystalline Nd2Sm3PuTe6 at its relaxed geometry, with properties calculated at the PBE-GGA level.

Values from the calculation:
M_tot ... 6.057 μB per formula unit
Final energy ... -73.2 eV/cell
Calculated volume ... 376 Å³/cell

The structure in extended XYZ format:
```
12
Lattice="4.441 0.000 0.000 0.000 8.954 0.315 -2.220 -2.583 9.375" Properties=species:S:1:pos:R:3 pbc="T T T"
Nd 2.220 4.256 6.474
Nd 0.000 2.114 3.217
Sm 2.220 4.477 0.158
Sm 2.220 -0.237 6.264
Sm 0.000 6.608 3.427
Pu 2.220 0.000 0.000
Te 0.000 6.510 6.566
Te 2.220 4.387 3.296
Te 2.220 -0.140 3.125
Te 2.220 -0.356 9.417
Te 0.000 6.726 0.274
Te 0.000 1.983 6.395
```

***

# 13
Below is crystalline Er8CdIn2 at its relaxed geometry, with properties calculated at the PBE-GGA level.

Values from the calculation:
M_tot ... 0.003 μB per formula unit
Calculated volume ... 314 Å³/cell
DFT formation energy ... -1.97 eV/f.u.

The structure in extended XYZ format:
```
11
Lattice="5.124 0.000 0.000 0.000 7.099 0.539 -2.562 -2.344 8.458" Properties=species:S:1:pos:R:3 pbc="T T T"
Er 0.000 1.989 7.185
Er 2.562 5.866 3.294
Er 2.562 3.751 5.858
Er 2.562 -0.420 8.076
Er 0.000 1.003 3.139
Er 0.000 -1.111 5.703
Er 2.562 2.765 1.812
Er 0.000 5.174 0.921
Cd 2.562 0.000 0.000
In 2.562 0.734 5.097
In 0.000 4.020 3.900
```

***

# 14
Below is crystalline TbDy3Bi4 at its relaxed geometry, with properties calculated at the PBE-GGA level.

Values from the calculation:
M_tot ... 0.000 μB per formula unit
Calculated volume ... 254 Å³/cell
DFT formation energy ... -6.91 eV/f.u.

The structure in extended XYZ format:
```
8
Lattice="4.480 0.000 0.000 0.000 7.752 -0.074 0.000 -2.514 7.334" Properties=species:S:1:pos:R:3 pbc="T T T"
Tb 2.240 0.000 0.000
Dy 0.000 -1.257 3.667
Dy 2.240 2.619 3.630
Dy 0.000 3.876 -0.037
Bi 0.000 1.314 1.821
Bi 2.240 5.182 1.781
Bi 0.000 3.924 5.439
Bi 2.240 0.056 5.479
```

***

# 15
Below is crystalline Pm2Zn2Cu5Pd at its relaxed geometry, with properties calculated at the PBE-GGA level.

Values from the calculation:
M_tot ... 0.000 μB per formula unit
Calculated volume ... 343 Å³/cell
DFT formation energy ... -1.05 eV/f.u.

The structure in extended XYZ format:
```
20
Lattice="3.552 0.000 0.000 0.000 9.827 0.000 0.000 0.000 9.827" Properties=species:S:1:pos:R:3 pbc="T T T"
Pm 0.000 6.677 1.764
Pm 0.000 3.150 8.063
Pm 0.000 1.764 3.150
Pm 0.000 8.063 6.677
Zn 0.000 1.168 6.082
Zn 0.000 8.659 3.745
Zn 0.000 6.082 8.659
Zn 0.000 3.745 1.168
Cu 1.776 1.903 0.484
Cu 1.776 7.924 9.343
Cu 1.776 0.484 7.924
Cu 1.776 6.817 4.430
Cu 1.776 9.343 1.903
Cu 1.776 3.010 5.398
Cu 1.776 5.398 6.817
Cu 1.776 4.430 3.010
Cu 1.776 4.914 0.000
Cu 1.776 0.000 4.914
Pd 0.000 0.000 0.000
Pd 0.000 4.914 4.914
```

***

# 16
Below is crystalline AgBiBrO2 at its relaxed geometry, with properties calculated at the PBE-GGA level.

Values from the calculation:
M_tot ... 0.000 μB per formula unit
Final energy ... -43.0 eV/cell
Calculated volume ... 201 Å³/cell

The structure in extended XYZ format:
```
10
Lattice="-1.003 -5.468 -0.432 5.641 -0.943 -1.169 -1.683 -0.215 6.626" Properties=species:S:1:pos:R:3 pbc="T T T"
Ag 3.605 -2.463 4.810
Ag -0.651 -4.162 0.215
Bi 2.806 -1.981 0.562
Bi 0.149 -4.644 4.463
Br 2.671 -4.936 2.296
Br 0.283 -1.689 2.729
O 1.064 -2.995 -0.541
O 4.075 -0.681 -0.844
O 3.574 -3.415 -1.061
O 1.565 -0.262 -0.324
```

***

# 17
Below is crystalline Sr4AcCd5 at its relaxed geometry, with properties calculated at the PBE-GGA level.

Values from the calculation:
M_tot ... 0.030 μB per formula unit
Calculated volume ... 336 Å³/cell
DFT formation energy ... -3.27 eV/f.u.

The structure in extended XYZ format:
```
10
Lattice="4.073 0.000 0.000 0.000 4.073 0.000 0.000 0.000 20.232" Properties=species:S:1:pos:R:3 pbc="T T T"
Sr 0.000 0.000 4.054
Sr 0.000 0.000 8.088
Sr 0.000 0.000 12.143
Sr 0.000 0.000 16.177
Ac 0.000 0.000 0.000
Cd 2.037 2.037 2.019
Cd 2.037 2.037 6.080
Cd 2.037 2.037 10.116
Cd 2.037 2.037 14.152
Cd 2.037 2.037 18.213
```

***

# 18
Below is crystalline HgPbNO2 at its relaxed geometry, with properties calculated at the PBE-GGA level.

Values from the calculation:
M_tot ... 1.456 μB per formula unit
Final energy ... -18.9 eV/cell
Calculated volume ... 87 Å³/cell

The structure in extended XYZ format:
```
5
Lattice="4.371 0.000 0.000 0.000 4.371 0.000 0.000 0.000 4.530" Properties=species:S:1:pos:R:3 pbc="T T T"
Pb 0.000 0.000 0.000
Hg 2.185 2.185 2.265
O 0.000 2.185 0.000
O 2.185 0.000 0.000
N 0.000 0.000 2.265
```

***

# 19
Below is crystalline ZrFeOs at its relaxed geometry, with properties calculated at the PBE-GGA level.

Values from the calculation:
M_tot ... 3.152 μB per formula unit
Calculated volume ... 49 Å³/cell
DFT formation energy ... 0.07 eV/f.u.

The structure in extended XYZ format:
```
3
Lattice="4.392 0.000 0.000 -2.196 3.803 0.000 0.000 0.000 2.911" Properties=species:S:1:pos:R:3 pbc="T T T"
Fe 0.000 0.000 0.094
Os 2.196 1.268 0.887
Zr 0.000 2.535 1.930
```

***

# 20
Below is crystalline Ba3Sr4Pb4 at its relaxed geometry, with properties calculated at the PBE-GGA level.

Values from the calculation:
M_tot ... 0.000 μB per formula unit
Calculated volume ... 467 Å³/cell
DFT formation energy ... -5.75 eV/f.u.

The structure in extended XYZ format:
```
11
Lattice="-5.409 0.629 -1.348 -1.016 -8.760 -0.009 0.958 4.317 9.844" Properties=species:S:1:pos:R:3 pbc="T T T"
Ba -0.471 0.053 1.914
Ba -4.996 -3.866 6.574
Ba -0.508 -4.380 -0.005
Sr -1.250 2.043 5.971
Sr -3.781 -2.099 2.520
Sr -4.217 -5.856 2.517
Sr -1.686 -1.715 5.967
Pb -1.436 -4.276 3.767
Pb -4.031 0.463 4.721
Pb -3.534 -6.834 -0.681
Pb -2.891 -1.297 -0.676
```